! Fe2CoNi PBE-GGA relaxed; values from VASP
&SYSTEM
  ibrav = 0, nat = 4, ntyp = 3
/
ATOMIC_SPECIES
Co 58.93 Co.upf
Fe 55.84 Fe.upf
Ni 58.69 Ni.upf
CELL_PARAMETERS angstrom
2.5189 0.0000 0.0000
0.0000 2.5189 0.0000
0.0000 0.0000 7.1324
ATOMIC_POSITIONS angstrom
Co 1.2595 1.2595 5.3493
Fe 0.0000 0.0000 7.1271
Fe 0.0000 0.0000 3.5715
Ni 1.2595 1.2595 1.7831
! **Space-group type**: P4/mmm (123)
! **DFT formation energy**: -0.6 kJ per mole of atoms
! **VASP energy**: -7.459 eV/atom


! La2Pd2Ru PBE-GGA relaxed; values from VASP
&SYSTEM
  ibrav = 0, nat = 10, ntyp = 3
/
ATOMIC_SPECIES
Ru 101.07 Ru.upf
Pd 106.42 Pd.upf
La 138.91 La.upf
CELL_PARAMETERS angstrom
7.4330 0.0000 0.0000
0.0000 7.4330 0.0000
0.0000 0.0000 4.1058
ATOMIC_POSITIONS angstrom
Ru 0.0000 0.0000 0.0000
Ru 3.7165 3.7165 0.0000
Pd 2.7587 6.4752 0.0000
Pd 6.4752 4.6744 0.0000
Pd 4.6744 0.9578 0.0000
Pd 0.9578 2.7587 0.0000
La 1.3621 5.0786 2.0529
La 5.0786 6.0709 2.0529
La 6.0709 2.3544 2.0529
La 2.3544 1.3621 2.0529
! **Space-group type**: P4/mbm (127)
! **DFT formation energy**: -38.4 kJ per mole of atoms
! **VASP energy**: -6.301 eV/atom


! PrYMgAl PBE-GGA relaxed; values from VASP
&SYSTEM
  ibrav = 0, nat = 4, ntyp = 4
/
ATOMIC_SPECIES
Pr 140.91 Pr.upf
Y 88.91 Y.upf
Mg 24.30 Mg.upf
Al 26.98 Al.upf
CELL_PARAMETERS angstrom
5.3102 0.0000 0.0000
2.6551 4.5988 0.0000
2.6551 1.5329 4.3358
ATOMIC_POSITIONS angstrom
Pr 2.6551 1.5329 1.0839
Y 7.9653 4.5988 3.2518
Mg 0.0000 0.0000 0.0000
Al 5.3102 3.0659 2.1679
! **Space-group type**: F-43m (216)
! **DFT formation energy**: -26.6 kJ per mole of atoms
! **VASP energy**: -4.421 eV/atom


! Ac3AgRu PBE-GGA relaxed; values from VASP
&SYSTEM
  ibrav = 0, nat = 20, ntyp = 3
/
ATOMIC_SPECIES
Ac 227.00 Ac.upf
Ag 107.87 Ag.upf
Ru 101.07 Ru.upf
CELL_PARAMETERS angstrom
-3.7592 0.8046 2.2123
-5.0293 -3.8889 -7.1315
1.0760 -14.2433 7.0084
ATOMIC_POSITIONS angstrom
Ac -3.3804 -4.3419 2.5046
Ac -3.2071 -16.1903 2.6618
Ac -0.8316 -1.3393 1.2971
Ac -3.0401 -7.3365 -0.2745
Ac -1.1680 -7.9502 3.1298
Ac -4.6724 -9.9911 2.3637
Ac -1.7115 -12.4449 3.8410
Ac -6.8809 -15.9884 0.7922
Ac -4.5054 -1.1374 -0.5725
Ac -6.0010 -4.8828 -1.7517
Ac -6.5445 -9.3775 -1.0405
Ac -4.3321 -12.9857 -0.4153
Ag -5.1015 -7.7462 -3.6282
Ag -2.6110 -9.5814 5.7175
Ag -4.9885 -13.3408 3.0448
Ag -2.7240 -3.9869 -0.9555
Ru -3.8256 -10.2861 -0.5364
Ru -3.8869 -7.0416 2.6257
Ru -6.8371 -3.2214 -3.7765
Ru -0.8755 -14.1063 5.8658
! **Space-group type**: Pnma (62)
! **DFT formation energy**: -22.6 kJ per mole of atoms
! **VASP energy**: -5.124 eV/atom


! Nb8Re2Mo PBE-GGA relaxed; values from VASP
&SYSTEM
  ibrav = 0, nat = 11, ntyp = 3
/
ATOMIC_SPECIES
Nb 92.91 Nb.upf
Re 186.21 Re.upf
Mo 95.94 Mo.upf
CELL_PARAMETERS angstrom
-4.8261 1.0836 0.0796
-2.8762 -4.4994 4.4526
-0.8723 4.3597 5.3455
ATOMIC_POSITIONS angstrom
Nb -4.9423 3.1140 4.3136
Nb -2.5961 2.4107 6.0258
Nb -5.2707 0.9195 2.7057
Nb -3.3039 0.0244 7.1721
Nb -5.9785 -1.4668 3.8519
Nb -3.6323 -2.1700 5.5641
Nb -2.9849 0.2550 4.1687
Nb -5.5897 0.6889 5.7090
Re -2.6811 0.4728 1.3262
Re -5.8935 0.4711 8.5516
Mo 0.0000 0.0000 0.0000
! **Space-group type**: C2/m (12)
! **DFT formation energy**: 61.7 kJ per mole of atoms
! **VASP energy**: -9.932 eV/atom


! InCoHg2W PBE-GGA relaxed; values from VASP
&SYSTEM
  ibrav = 0, nat = 5, ntyp = 4
/
ATOMIC_SPECIES
Co 58.93 Co.upf
Hg 200.59 Hg.upf
W 183.84 W.upf
In 114.82 In.upf
CELL_PARAMETERS angstrom
-0.4916 -0.5064 -5.2810
3.8713 -2.0514 -0.1637
-2.4520 -4.6815 0.6772
ATOMIC_POSITIONS angstrom
Co 1.9356 -1.0257 -0.0818
Hg -1.2260 -2.3407 0.3386
Hg -0.2458 -0.2532 -2.6405
W 0.0000 0.0000 0.0000
In 0.4638 -3.6196 -2.3838
! **Space-group type**: P4/mmm (123)
! **DFT formation energy**: 111.0 kJ per mole of atoms
! **VASP energy**: -3.529 eV/atom


! Pm5Pr12Ga3 PBE-GGA relaxed; values from VASP
&SYSTEM
  ibrav = 0, nat = 80, ntyp = 3
/
ATOMIC_SPECIES
Ga 69.72 Ga.upf
Pm 145.00 Pm.upf
Pr 140.91 Pr.upf
CELL_PARAMETERS angstrom
15.4455 0.0000 0.0000
-5.1485 14.5622 0.0000
-5.1485 -7.2811 12.6112
ATOMIC_POSITIONS angstrom
Ga 9.0099 4.5507 1.5764
Ga 9.0099 10.0115 1.5764
Ga -1.2871 6.3710 7.8820
Ga 1.2871 -0.9101 4.7292
Ga 11.5841 0.0000 3.1528
Ga 1.2871 7.2811 3.1528
Ga 3.8614 0.0000 9.4584
Ga -6.4356 7.2811 9.4584
Ga 3.8614 8.1912 7.8820
Ga 6.4356 0.9101 4.7292
Ga -3.8614 -2.7304 11.0348
Ga -3.8614 2.7304 11.0348
Pm -1.2871 3.6405 3.1528
Pm -2.5743 7.2811 0.0000
Pm 0.0000 0.0000 0.0000
Pm 3.8614 2.7304 1.5764
Pm 5.1485 -3.6405 6.3056
Pm 5.1485 7.2811 0.0000
Pm -3.8614 8.1912 4.7292
Pm 6.4356 -4.5507 11.0348
Pm 6.4356 6.3710 4.7292
Pm 1.2871 -3.6405 9.4584
Pm 3.8614 10.9216 3.1528
Pm 2.5743 3.6405 6.3056
Pm 7.7228 0.0000 0.0000
Pm -2.5743 -3.6405 6.3056
Pm -1.2871 0.9101 7.8820
Pm -1.2871 11.8318 1.5764
Pm -5.1485 3.6405 6.3056
Pm 9.0099 -0.9101 7.8820
Pm 1.2871 4.5507 11.0348
Pm 6.4356 3.6405 9.4584
Pr 10.3437 1.6128 0.8189
Pr -0.0466 5.1561 5.3183
Pr 11.2623 3.2957 3.2906
Pr 6.7575 2.4386 1.8062
Pr 1.9273 5.8540 8.5017
Pr 10.5688 7.1532 2.1961
Pr -0.9653 8.1382 5.0968
Pr -4.1832 12.1236 1.8062
Pr 0.6469 8.7082 8.5017
Pr 7.4510 7.4090 2.1961
Pr 7.6761 3.7378 4.4995
Pr 7.6761 12.9494 0.8189
Pr -4.5016 6.6491 7.1245
Pr 2.8460 5.4432 1.2088
Pr -5.1019 10.8244 4.4995
Pr 2.5276 -2.1250 7.2929
Pr -0.6469 0.7951 3.0150
Pr 2.8460 9.2469 0.9873
Pr 6.7575 11.2665 3.2906
Pr -0.2717 5.3153 0.9873
Pr -3.2212 8.0762 9.5963
Pr 3.5396 6.4240 5.0968
Pr 7.0758 7.9130 7.1245
Pr 5.4202 -1.8379 11.4024
Pr 1.6089 0.8571 7.5144
Pr -1.9273 -0.6319 5.4867
Pr -0.2717 9.1190 1.2088
Pr -1.6089 -3.9854 9.3206
Pr 8.3697 -0.7951 3.0150
Pr 5.4202 1.9658 11.6239
Pr 2.3025 -1.9658 11.6239
Pr 2.6209 9.4061 5.3183
Pr 5.7954 6.4859 9.5963
Pr 10.2504 -3.5433 8.1118
Pr 9.6501 0.6319 5.4867
Pr -2.5276 -5.6683 11.7923
Pr 2.3025 1.8379 11.4024
Pr 4.5016 -1.4271 4.1095
Pr -2.3025 -0.1279 10.4151
Pr -2.5276 3.5433 8.1118
Pr 9.3317 -4.8425 10.8051
Pr 6.1138 -0.8571 7.5144
Pr -1.6089 4.8425 10.8051
Pr -5.4202 0.1279 10.4151
Pr 3.2212 1.4271 4.1095
Pr -6.1138 3.9854 9.3206
Pr 5.1952 2.1250 7.2929
Pr -5.1952 5.6683 11.7923
! **Space-group type**: Ia-3d (230)
! **DFT formation energy**: 59.3 kJ per mole of atoms
! **VASP energy**: -3.895 eV/atom


! Os4Ru3 PBE-GGA relaxed; values from VASP
&SYSTEM
  ibrav = 0, nat = 7, ntyp = 2
/
ATOMIC_SPECIES
Os 190.23 Os.upf
Ru 101.07 Ru.upf
CELL_PARAMETERS angstrom
-3.0198 1.7110 -1.6525
0.8599 -3.3178 -5.0066
-1.1356 -3.5452 2.8756
ATOMIC_POSITIONS angstrom
Os -2.8991 -2.9459 -2.2236
Os -0.3963 -2.2061 -1.5599
Os -2.5203 -0.7796 -0.6729
Os -0.7752 -4.3723 -3.1106
Ru 0.0000 0.0000 0.0000
Ru -1.2788 -1.9146 -4.1166
Ru -2.0166 -3.2374 0.3331
! **Space-group type**: C2/m (12)
! **DFT formation energy**: 11.4 kJ per mole of atoms
! **VASP energy**: -10.274 eV/atom


! Dy2TlHg PBE-GGA relaxed; values from VASP
&SYSTEM
  ibrav = 0, nat = 4, ntyp = 3
/
ATOMIC_SPECIES
Tl 204.38 Tl.upf
Hg 200.59 Hg.upf
Dy 162.50 Dy.upf
CELL_PARAMETERS angstrom
-0.1846 1.8485 -4.9829
4.1835 -0.6200 -3.2240
-0.2709 -3.3915 -4.0871
ATOMIC_POSITIONS angstrom
Tl 2.7960 -1.6223 -9.2205
Hg 0.9320 -0.5408 -3.0735
Dy 3.7280 -2.1630 -12.2940
Dy 1.8640 -1.0815 -6.1471
! **Space-group type**: Fm-3m (225)
! **DFT formation energy**: -39.5 kJ per mole of atoms
! **VASP energy**: -3.377 eV/atom


! MgOsRu PBE-GGA relaxed; values from VASP
&SYSTEM
  ibrav = 0, nat = 6, ntyp = 3
/
ATOMIC_SPECIES
Ru 101.07 Ru.upf
Mg 24.30 Mg.upf
Os 190.23 Os.upf
CELL_PARAMETERS angstrom
-3.9529 1.3854 1.6434
0.1323 -3.2850 -3.0720
0.5993 -6.2559 6.7154
ATOMIC_POSITIONS angstrom
Ru 0.1498 -1.5640 1.6788
Ru 0.4495 -4.6919 5.0365
Mg -1.0796 -3.2921 0.1787
Mg -2.1416 -4.8632 5.1082
Os 0.0000 0.0000 0.0000
Os 0.2997 -3.1279 3.3577
! **Space-group type**: P6_3/mmc (194)
! **DFT formation energy**: 197.1 kJ per mole of atoms
! **VASP energy**: -5.324 eV/atom


! HfZnRu2Cl PBE-GGA relaxed; values from VASP
&SYSTEM
  ibrav = 0, nat = 5, ntyp = 4
/
ATOMIC_SPECIES
Ru 101.07 Ru.upf
Zn 65.41 Zn.upf
Hf 178.49 Hf.upf
Cl 35.45 Cl.upf
CELL_PARAMETERS angstrom
-1.3857 -0.5179 -4.0991
-3.8867 -2.0747 1.5761
-1.9919 3.8716 0.1842
ATOMIC_POSITIONS angstrom
Ru -0.9960 1.9358 0.0921
Ru -0.6929 -0.2589 -2.0495
Zn -1.9434 -1.0374 0.7880
Hf -3.6322 0.6395 -1.1694
Cl 0.0000 0.0000 0.0000
! **Space-group type**: P4/mmm (123)
! **VASP energy**: -5.531 eV/atom
! **Formation energy without anion corrections**: 0.794 eV per atom


! ZnIO2 PBE-GGA relaxed; values from VASP
&SYSTEM
  ibrav = 0, nat = 8, ntyp = 3
/
ATOMIC_SPECIES
I 126.90 I.upf
Zn 65.41 Zn.upf
O 16.00 O.upf
CELL_PARAMETERS angstrom
-5.1622 1.7766 -0.1741
-1.7348 -5.1183 -0.7924
-3.7823 -2.2209 3.8009
ATOMIC_POSITIONS angstrom
I 0.0000 0.0000 0.0000
I -6.1965 -1.0576 1.5718
Zn -3.4485 -1.6709 -0.4832
Zn -4.4828 -4.5051 1.2626
O -3.9932 -0.2208 0.7557
O -3.0707 -3.3960 0.4199
O -5.5561 -3.3111 2.4275
O -8.7386 -4.1975 2.0657
! **Space-group type**: I-42d (122)
! **VASP energy**: -3.427 eV/atom
! **Formation energy without anion corrections**: -0.242 eV per atom


! Ba4Na2CaTi3Si4S2O26 PBE-GGA relaxed; values from VASP
&SYSTEM
  ibrav = 0, nat = 42, ntyp = 7
/
ATOMIC_SPECIES
Ba 137.33 Ba.upf
Na 22.99 Na.upf
Ca 40.08 Ca.upf
Ti 47.87 Ti.upf
Si 28.09 Si.upf
S 32.06 S.upf
O 16.00 O.upf
CELL_PARAMETERS angstrom
5.4928 -0.0006 0.0001
0.0019 7.2101 -0.0050
-1.2440 -2.3115 14.7758
ATOMIC_POSITIONS angstrom
Ba 1.5097 -0.1937 9.1259
Ba 4.2463 3.4723 10.4110
Ba -0.0080 7.1201 0.2527
Ba 1.4993 1.1374 13.7497
Na 3.4997 3.4276 4.6913
Na 0.7496 1.5450 4.6991
Ca 0.7580 5.4445 4.6874
Ti 1.4973 3.4543 7.6684
Ti 3.5001 -0.0576 4.6987
Ti 0.0034 3.4748 1.7124
Si 2.7606 5.5009 1.8645
Si 4.2355 1.4179 7.5043
Si 2.7559 1.4257 1.9063
Si 4.2360 5.4925 7.4922
S 4.2445 0.2154 11.7297
S 1.4979 4.3948 12.4321
O 4.2543 -0.1506 8.1130
O 4.2383 -1.1372 11.1519
O 1.4962 -1.4649 13.0211
O 0.0987 2.0963 8.1790
O -0.0164 3.5187 3.4017
O 4.0981 4.8239 1.1625
O 1.4047 2.1132 1.2404
O 0.0973 4.8101 8.1683
O 2.9045 4.8023 8.1827
O 4.2735 1.4152 5.8929
O 4.2459 0.1836 13.2294
O 3.0291 0.9730 11.2739
O 4.0914 2.1188 1.2249
O 0.2815 3.6389 12.8873
O 1.9915 -0.2172 5.7603
O 4.2962 5.4970 5.8851
O 2.7150 3.6396 12.8863
O 1.4971 4.4319 10.9331
O 1.5174 3.4894 5.9787
O 2.7183 1.4110 3.5163
O 1.4015 4.8281 1.1786
O 5.0099 -0.2050 3.6399
O 2.7048 5.4947 3.4728
O -0.0306 0.9669 11.2704
O 2.8939 2.0977 8.1957
O 2.7392 -0.1344 1.2755
! **Space-group type**: P1 (1)
! **VASP energy**: -7.331 eV/atom
! **Formation energy without anion corrections**: -2.691 eV per atom


! K2Pt3 PBE-GGA relaxed; values from VASP
&SYSTEM
  ibrav = 0, nat = 10, ntyp = 2
/
ATOMIC_SPECIES
K 39.10 K.upf
Pt 195.08 Pt.upf
CELL_PARAMETERS angstrom
0.0000 11.3019 6.8892
1.4190 0.0000 6.8892
1.4190 11.3019 0.0000
ATOMIC_POSITIONS angstrom
K 1.4137 8.4905 6.8467
K 1.4137 14.1132 6.9317
K 2.1232 14.1415 10.3762
K 2.1232 19.7641 10.2912
Pt 1.4229 11.3096 9.1752
Pt 1.4229 11.2941 4.6031
Pt 2.1324 16.9605 8.0476
Pt 2.1324 16.9450 12.6198
Pt 0.0030 11.3019 6.8892
Pt 0.7125 5.6509 3.4446
! **Space-group type**: Fdd2 (43)
! **DFT formation energy**: -11.7 kJ per mole of atoms
! **VASP energy**: -4.185 eV/atom


! Ce3Pd4 PBE-GGA relaxed; values from VASP
&SYSTEM
  ibrav = 0, nat = 14, ntyp = 2
/
ATOMIC_SPECIES
Ce 140.12 Ce.upf
Pd 106.42 Pd.upf
CELL_PARAMETERS angstrom
-7.0365 1.5059 3.6224
1.7669 -7.8261 -0.7296
6.1161 4.5740 2.5639
ATOMIC_POSITIONS angstrom
Ce -1.4122 0.0931 4.9408
Ce 0.3092 -3.8236 3.4204
Ce 3.0414 -0.2682 4.1343
Ce 2.2587 -1.8393 0.5159
Ce 0.5373 2.0774 2.0363
Ce -2.1949 -1.4780 1.3224
Pd 0.0000 0.0000 0.0000
Pd 0.4233 -0.8731 2.7283
Pd -2.5108 -2.6136 3.9788
Pd 3.2633 -3.1315 2.9174
Pd 1.0760 1.9733 4.8903
Pd 3.3573 0.8674 1.4778
Pd -2.4168 1.3853 2.5393
Pd -0.2295 -3.7195 0.5664
! **Space-group type**: R-3 (148)
! **DFT formation energy**: -69.6 kJ per mole of atoms
! **VASP energy**: -6.232 eV/atom


! LiSi2 PBE-GGA relaxed; values from VASP
&SYSTEM
  ibrav = 0, nat = 3, ntyp = 2
/
ATOMIC_SPECIES
Li 6.94 Li.upf
Si 28.09 Si.upf
CELL_PARAMETERS angstrom
5.0530 0.0388 0.0482
2.9645 4.0922 -0.0482
-3.8473 -2.3788 2.2530
ATOMIC_POSITIONS angstrom
Li 0.0000 0.0000 0.0000
Si 5.5198 2.8441 0.0000
Si 2.4977 1.2869 0.0000
! **Space-group type**: Immm (71)
! **VASP energy**: -4.146 eV/atom
! **Formation energy without anion corrections**: 0.107 eV per atom


! Ti2AlCr PBE-GGA relaxed; values from VASP
&SYSTEM
  ibrav = 0, nat = 4, ntyp = 3
/
ATOMIC_SPECIES
Cr 52.00 Cr.upf
Al 26.98 Al.upf
Ti 47.87 Ti.upf
CELL_PARAMETERS angstrom
-1.3648 0.5325 2.7626
0.8939 -2.8293 0.9870
5.2627 2.4078 2.1358
ATOMIC_POSITIONS angstrom
Cr 2.6313 1.2039 1.0679
Al 0.0000 0.0000 0.0000
Ti 1.2110 -0.4866 2.4618
Ti 3.5808 0.5976 3.4236
! **Space-group type**: P4/mmm (123)
! **DFT formation energy**: -24.6 kJ per mole of atoms
! **VASP energy**: -7.544 eV/atom


! ZrVSb2P PBE-GGA relaxed; values from VASP
&SYSTEM
  ibrav = 0, nat = 5, ntyp = 4
/
ATOMIC_SPECIES
Sb 121.76 Sb.upf
P 30.97 P.upf
Zr 91.22 Zr.upf
V 50.94 V.upf
CELL_PARAMETERS angstrom
5.1290 0.0000 0.0000
0.0000 4.7697 0.0000
0.0000 0.0000 5.1290
ATOMIC_POSITIONS angstrom
Sb 0.0000 0.0000 2.5645
Sb 2.5645 0.0000 0.0000
P 0.0000 0.0000 0.0000
Zr 0.0000 2.3849 0.0000
V 2.5645 2.3849 2.5645
! **Space-group type**: P4/mmm (123)
! **VASP energy**: -5.450 eV/atom
! **Formation energy without anion corrections**: 0.814 eV per atom


! LiZn2Re PBE-GGA relaxed; values from VASP
&SYSTEM
  ibrav = 0, nat = 4, ntyp = 3
/
ATOMIC_SPECIES
Li 6.94 Li.upf
Re 186.21 Re.upf
Zn 65.41 Zn.upf
CELL_PARAMETERS angstrom
-1.8025 1.6614 3.8507
-4.5069 -0.5876 -0.4237
3.3694 -3.0326 -0.5362
ATOMIC_POSITIONS angstrom
Li -2.1461 -1.5417 0.3768
Re -0.7939 -0.4172 2.5140
Zn 0.0000 0.0000 0.0000
Zn -3.1547 0.5369 1.7135
! **Space-group type**: I4/mmm (139)
! **DFT formation energy**: 29.5 kJ per mole of atoms
! **VASP energy**: -3.921 eV/atom


! PmNdHo2Er2 PBE-GGA relaxed; values from VASP
&SYSTEM
  ibrav = 0, nat = 12, ntyp = 4
/
ATOMIC_SPECIES
Pm 145.00 Pm.upf
Nd 144.24 Nd.upf
Ho 164.93 Ho.upf
Er 167.26 Er.upf
CELL_PARAMETERS angstrom
3.3943 0.0000 0.0000
0.0000 6.6118 0.0000
0.0000 0.0000 17.6632
ATOMIC_POSITIONS angstrom
Pm 0.0000 0.0000 0.0000
Pm 1.6972 3.3059 8.8316
Nd 1.6972 3.3059 0.0000
Nd 0.0000 0.0000 8.8316
Ho 1.6972 5.0921 6.1569
Ho 1.6972 1.5197 11.5063
Ho 0.0000 4.8256 14.9885
Ho 0.0000 1.7862 2.6747
Er 1.6972 1.7773 5.6138
Er 0.0000 5.0832 3.2177
Er 1.6972 4.8345 12.0493
Er 0.0000 1.5286 14.4454
! **Space-group type**: Pnnm (58)
! **DFT formation energy**: 27.2 kJ per mole of atoms
! **VASP energy**: -4.351 eV/atom